Entry from Alexandria via LeMat-Bulk: crystalline MnHg2F4 at its relaxed geometry (GGA+U).

Cell and atoms, written as POSCAR:
```
MnHg2F4
1.0
3.991 0.000 0.000
0.000 3.991 0.000
1.995 1.995 8.678
F Hg Mn
4 2 1
Direct
0.000 0.500 0.000 F
0.107 0.107 0.787 F
0.893 0.893 0.213 F
0.500 0.000 0.000 F
0.246 0.246 0.509 Hg
0.754 0.754 0.491 Hg
0.000 0.000 0.000 Mn
```

Values from the calculation:
total magnetization = 3.8 μB per formula unit
SG = I4/mmm (139)
energy = -3.90 eV/atom